No. 1
{"formula": "Tl2CdB", "functional": "GGA-PBE", "state": "optimized geometry", "lattice_angstrom": [[0.000, 3.597, 3.597], [3.597, 0.000, 3.597], [3.597, 3.597, 0.000]], "species": ["Tl", "Tl", "Cd", "B"], "frac_coords": [[0.250, 0.250, 0.250], [0.750, 0.750, 0.750], [0.000, 0.000, 0.000], [0.500, 0.500, 0.500]], "e_form_ev_per_atom": 0.9821, "relative_energy_mev_per_atom": 235}

No. 2
{"formula": "CrHOs2Ru", "functional": "GGA-PBE", "state": "optimized geometry", "lattice_angstrom": [[3.858, 0.000, 0.000], [0.000, 3.858, 0.000], [0.000, 0.000, 3.833]], "species": ["Cr", "H", "Os", "Os", "Ru"], "frac_coords": [[0.000, 0.000, 0.000], [0.000, 0.000, 0.500], [0.000, 0.500, 0.500], [0.500, 0.000, 0.500], [0.500, 0.500, 0.000]], "relative_energy_mev_per_atom": 0}

No. 3
{"formula": "In2Si2O7", "functional": "GGA-PBE", "state": "optimized geometry", "lattice_angstrom": [[0.000, 4.771, 4.771], [4.771, 0.000, 4.771], [4.771, 4.771, 0.000]], "species": ["In", "In", "In", "In", "Si", "Si", "Si", "Si", "O", "O", "O", "O", "O", "O", "O", "O", "O", "O", "O", "O", "O", "O"], "frac_coords": [[0.000, 0.000, 0.000], [0.000, 0.000, 0.500], [0.000, 0.500, 0.000], [0.500, 0.000, 0.000], [0.000, 0.500, 0.500], [0.500, 0.000, 0.500], [0.500, 0.500, 0.000], [0.500, 0.500, 0.500], [0.125, 0.125, 0.125], [0.179, 0.179, 0.571], [0.179, 0.571, 0.179], [0.179, 0.571, 0.571], [0.429, 0.429, 0.821], [0.429, 0.821, 0.429], [0.429, 0.821, 0.821], [0.571, 0.179, 0.179], [0.571, 0.179, 0.571], [0.571, 0.571, 0.179], [0.821, 0.429, 0.429], [0.821, 0.429, 0.821], [0.821, 0.821, 0.429], [0.875, 0.875, 0.875]], "relative_energy_mev_per_atom": 126, "raw_formation_energy_kcal_per_mol_atoms": -48.80}

No. 4
{"formula": "In2FeAs", "functional": "GGA-PBE", "state": "optimized geometry", "lattice_angstrom": [[3.878, 0.000, 0.000], [0.000, 4.336, 0.000], [0.000, 0.000, 4.837]], "species": ["In", "In", "Fe", "As"], "frac_coords": [[0.000, 0.000, 0.000], [0.000, 0.500, 0.500], [0.500, 0.000, 0.500], [0.500, 0.500, 0.000]], "e_form_ev_per_atom": 0.3919}

No. 5
{"formula": "KZnAg2", "functional": "GGA-PBE", "state": "optimized geometry", "lattice_angstrom": [[0.000, 3.603, 3.603], [3.603, 0.000, 3.603], [3.603, 3.603, 0.000]], "species": ["K", "Zn", "Ag", "Ag"], "frac_coords": [[0.000, 0.000, 0.000], [0.750, 0.750, 0.750], [0.250, 0.250, 0.250], [0.500, 0.500, 0.500]], "e_form_ev_per_atom": 0.2456}

No. 6
{"formula": "SrMg2Sb2", "functional": "GGA-PBE", "state": "optimized geometry", "lattice_angstrom": [[8.497, 0.000, 0.000], [0.000, 8.497, 0.000], [0.000, 0.000, 3.767]], "species": ["Sr", "Sr", "Mg", "Mg", "Mg", "Mg", "Sb", "Sb", "Sb", "Sb"], "frac_coords": [[0.000, 0.000, 0.000], [0.500, 0.500, 0.000], [0.120, 0.380, 0.000], [0.380, 0.880, 0.000], [0.620, 0.120, 0.000], [0.880, 0.620, 0.000], [0.178, 0.678, 0.500], [0.322, 0.178, 0.500], [0.678, 0.822, 0.500], [0.822, 0.322, 0.500]], "relative_energy_mev_per_atom": 344, "raw_formation_energy_kcal_per_mol_atoms": -9.58}

No. 7
{"formula": "KCrBr", "functional": "GGA-PBE", "state": "optimized geometry", "lattice_angstrom": [[0.000, 3.822, 3.822], [3.822, 0.000, 3.822], [3.822, 3.822, 0.000]], "species": ["K", "Cr", "Br"], "frac_coords": [[0.000, 0.000, 0.000], [0.500, 0.500, 0.500], [0.250, 0.250, 0.250]], "relative_energy_mev_per_atom": 63, "raw_formation_energy_kcal_per_mol_atoms": 2.78}

No. 8
{"formula": "MnSiTe2", "functional": "GGA-PBE", "state": "optimized geometry", "lattice_angstrom": [[-1.811, 1.887, 7.766], [1.811, -1.887, 7.766], [1.811, 1.887, -7.766]], "species": ["Mn", "Si", "Te", "Te"], "frac_coords": [[0.000, 0.000, 0.000], [0.121, 0.621, 0.500], [0.430, 0.430, 0.000], [0.681, 0.181, 0.500]], "raw_formation_energy_kcal_per_mol_atoms": 4.18}

Number 1: theoretical density 9.5 g cm⁻³, calculated volume 93.07 Å³ per cell, DOS at the Fermi energy 2.67 states/eV/cell. Number 2: theoretical density 15.6 g cm⁻³, calculated volume 57.06 Å³ per cell, DOS at the Fermi energy 4.20 states/eV/cell. Number 3: theoretical density 6.1 g cm⁻³, calculated volume 217.22 Å³ per cell, DOS at the Fermi energy 0.00 states/eV/cell. Number 4: theoretical density 7.4 g cm⁻³, calculated volume 81.33 Å³ per cell, DOS at the Fermi energy 3.08 states/eV/cell. Number 5: theoretical density 5.7 g cm⁻³, calculated volume 93.55 Å³ per cell, DOS at the Fermi energy 1.38 states/eV/cell. Number 6: theoretical density 4.6 g cm⁻³, calculated volume 271.98 Å³ per cell, DOS at the Fermi energy 3.60 states/eV/cell. Number 7: theoretical density 2.5 g cm⁻³, calculated volume 111.63 Å³ per cell, DOS at the Fermi energy 1.20 states/eV/cell. Number 8: theoretical density 5.3 g cm⁻³, calculated volume 106.17 Å³ per cell, DOS at the Fermi energy 2.51 states/eV/cell.